# DyTi2Ni9

A relaxed DyTi2Ni9 crystal (PBE, the Alexandria database). Values from VASP.

Structure (Quantum ESPRESSO input):
```
&SYSTEM
  ibrav = 0, nat = 12, ntyp = 3
/
ATOMIC_SPECIES
Dy 162.50 Dy.upf
Ti 47.87 Ti.upf
Ni 58.69 Ni.upf
ATOMIC_POSITIONS angstrom
Dy 0.0000 0.0000 0.0000
Ti 0.0000 0.0000 3.3296
Ti 0.0000 0.0000 20.0745
Ni -1.2207 -0.7048 9.8408
Ni 0.0000 0.0000 7.8135
Ni 0.0000 -1.4095 13.5633
Ni -1.2207 0.7048 13.5633
Ni 0.0000 0.0000 11.7021
Ni 1.2207 -0.7048 9.8409
Ni 0.0000 1.4095 9.8409
Ni 0.0000 0.0000 15.5907
Ni 1.2207 0.7048 13.5633
CELL_PARAMETERS angstrom
2.4006 1.3860 7.8014
-2.4006 1.3860 7.8014
0.0000 -2.7720 7.8014
```

For the formation energy from the elements, the calculation gives -0.36 eV/atom. As for the space group: R-3m.